[1]
# MnWCl

MnWCl after structural relaxation (GGA-PBE, Alexandria).

Cell lengths 4.2849, 4.2849, 2.8312 Å; angles 90.00, 90.00, 120.00 degrees
Last column: nearest neighbours and their distance in Å.
Fractional coordinates of all 3 atoms:
Mn  0.0000  0.0000  0.0000  6 Cl 2.80-2.91, 6 W 2.81-2.89, 2 Mn 2.83
W  0.3333  0.6667  0.5285  3 Cl 2.47
Cl  0.6667  0.3333  0.5381  3 W 2.47

Electronic total energy: -7.234 eV per atom
Theoretical density: 10.1 Mg/m³
Formation energy from raw total energies: 0.7558 eV per atom
Energy above the most stable polymorph in this dataset: 1.224 eV/f.u.
Space group: P3m1, No. 156
DOS at the Fermi energy: 2.414 states/eV/cell

=====

[2]
# FeSbS3

FeSbS3 after structural relaxation (GGA-PBE, Alexandria).

Cell lengths 4.5266, 4.5266, 4.5266 Å; angles 90.00, 90.00, 90.00 degrees
Last column: nearest neighbours and their distance in Å.
Fractional coordinates of all 5 atoms:
Fe  0.0000  0.0000  0.0000  6 S 2.26
Sb  0.5000  0.5000  0.5000  12 S 3.20
S  0.0000  0.0000  0.5000  2 Fe 2.26
S  0.0000  0.5000  0.0000  2 Fe 2.26
S  0.5000  0.0000  0.0000  2 Fe 2.26

Electronic total energy: -4.802 eV per atom
Theoretical density: 4.9 Mg/m³
Formation energy from raw total energies: 0.1910 eV per atom
Space group: Pm-3m, No. 221
DOS at the Fermi energy: 5.571 states/eV/cell

=====

[3]
# LiAc2Bi3Rh4

LiAc2Bi3Rh4 after structural relaxation (GGA-PBE, Alexandria).

Cell lengths 4.3711, 4.3711, 12.2523 Å; angles 90.00, 90.00, 90.00 degrees
Last column: nearest neighbours and their distance in Å.
Fractional coordinates of all 10 atoms:
Li  0.0000  0.0000  0.0000  4 Rh 2.85, 4 Bi 3.09
Ac  0.0000  0.5000  0.7682  4 Rh 3.25, 6 Bi 3.53-3.58, 2 Li 3.58
Ac  0.5000  0.0000  0.2318  4 Rh 3.25, 6 Bi 3.53-3.58, 2 Li 3.58
Bi  0.0000  0.5000  0.3704  5 Rh 2.70-2.72
Bi  0.5000  0.0000  0.6296  5 Rh 2.70-2.72
Bi  0.5000  0.5000  0.0000  4 Rh 2.85, 4 Li 3.09
Rh  0.0000  0.0000  0.5000  4 Bi 2.70
Rh  0.0000  0.5000  0.1487  3 Bi 2.72-2.85, 2 Li 2.85
Rh  0.5000  0.0000  0.8513  3 Bi 2.72-2.85, 2 Li 2.85
Rh  0.5000  0.5000  0.5000  4 Bi 2.70

Electronic total energy: -5.654 eV per atom
Theoretical density: 10.6 Mg/m³
Energy relative to the elements: -0.54 eV/atom
Space group: P-4m2, No. 115
DOS at the Fermi energy: 4.763 states/eV/cell